The following is a GGA-PBE calculation of crystalline TmHg2Ge at its relaxed geometry, from the Alexandria database.

Unit cell a=10.9802 b=10.9802 c=10.9802 alpha=17.41 beta=17.41 gamma=17.41
Last column: nearest neighbours and their distance in Å.
Fractional positions:
Tm: 0.0000 0.0000 0.0000  2 Hg 3.00, 6 Tm 3.32
Hg: 0.0926 0.0926 0.0926  1 Tm 3.00, 3 Ge 3.07, 6 Hg 3.32
Hg: 0.9074 0.9074 0.9074  1 Tm 3.00, 3 Ge 3.07, 6 Hg 3.32
Ge: 0.5000 0.5000 0.5000  6 Hg 3.07, 6 Ge 3.32

- E_form: 0.2411 eV/atom
- Excess energy over the best structure of this formula in the dataset: 586 meV per atom